# LaThPdPt (PBE, optimized geometry)
data_LaThPdPt
_chemical_formula_sum 'La4 Th4 Pd4 Pt4'
_symmetry_space_group_name_H-M 'F -4 3 m'
_symmetry_Int_Tables_number 216
_symmetry_space_group_name_Hall 'F -4 2 3'
_cell_length_a 7.286
_cell_length_b 7.286
_cell_length_c 7.286
_cell_angle_alpha 90.00
_cell_angle_beta 90.00
_cell_angle_gamma 90.00
loop_
_atom_site_label
_atom_site_type_symbol
_atom_site_fract_x
_atom_site_fract_y
_atom_site_fract_z
La1 La 0.000 0.000 0.000
Th1 Th 0.000 0.000 0.500
Pd1 Pd 0.250 0.250 0.750
Pt1 Pt 0.250 0.250 0.250
# energy relative to the lowest polymorph listed for this composition: 0.156 eV/atom
# energy: -6.752 eV/atom
# E_form: -0.86 eV/atom